Record 1
The following is a DFT calculation (GGA-PBE) of a relaxed Pu8Rh3Au2 crystal.

Cell lengths 4.2732, 8.8039, 8.8039 Å; angles 64.97, 76.22, 76.22 degrees
Each line ends with the local moment (μB).
Element x y z (fractional)
Pu 0.8894 0.1253 0.1253  4.96
Rh 0.0000 0.7727 0.2273  0.04
Pu 0.6358 0.1585 0.5653  -4.78
Pu 0.6358 0.5653 0.1585  -4.78
Rh 0.5000 0.0000 0.0000  -0.26
Au 0.7484 0.7364 0.7364  -0.01
Pu 0.7784 0.4547 0.4547  2.54
Pu 0.3642 0.8415 0.4347  -4.78
Pu 0.1106 0.8747 0.8747  4.96
Pu 0.3642 0.4347 0.8415  -4.78
Pu 0.2216 0.5453 0.5453  2.54
Au 0.2516 0.2636 0.2636  -0.01
Rh 0.0000 0.2273 0.7727  0.04

Summary:
For the total DFT energy (no corrections), the calculation gives -11.2182 eV per atom.

Record 2
The following is a DFT calculation (GGA-PBE) of a relaxed Pu11Rh4Au9 crystal.

Cell lengths 3.6848, 12.5581, 12.5581 Å; angles 112.54, 90.00, 90.00 degrees
Each line ends with the local moment (μB).
Element x y z (fractional)
Pu 0.0000 0.6313 0.3687  5.21
Pu 0.0000 0.9369 0.5879  5.35
Pu 0.0000 0.1577 0.8423  5.52
Pu 0.0000 0.8423 0.1577  5.52
Au 0.5000 0.2152 0.0705  0.05
Rh 0.5000 0.7484 0.5490  -0.33
Au 0.5000 0.7848 0.9295  0.05
Rh 0.5000 0.4510 0.2516  -0.33
Au 0.5000 0.9295 0.7848  0.05
Pu 0.0000 0.0000 0.0000  5.42
Au 0.5000 0.1559 0.6341  0.04
Au 0.5000 0.3659 0.8441  0.04
Pu 0.0000 0.0631 0.4121  5.35
Au 0.5000 0.0705 0.2152  0.05
Pu 0.0000 0.4121 0.0631  5.35
Pu 0.0000 0.5879 0.9369  5.35
Pu 0.0000 0.3687 0.6313  5.21
Pu 0.0000 0.6967 0.6967  5.21
Au 0.5000 0.5000 0.5000  0.05
Au 0.5000 0.6341 0.1559  0.04
Rh 0.5000 0.5490 0.7484  -0.33
Au 0.5000 0.8441 0.3659  0.04
Rh 0.5000 0.2516 0.4510  -0.33
Pu 0.0000 0.3033 0.3033  5.21

Summary:
For the total DFT energy (no corrections), the calculation gives -9.4799 eV per atom.

Record 3
The following is a DFT calculation (GGA-PBE) of a relaxed Pu3RhAu2 crystal.

Cell lengths 3.3959, 3.3959, 11.7018 Å; angles 90.00, 90.00, 90.00 degrees
Each line ends with the local moment (μB).
Element x y z (fractional)
Pu 0.0000 0.0000 0.0000  5.48
Au 0.5000 0.5000 0.1745  0.01
Pu 0.0000 0.0000 0.6475  -5.29
Au 0.5000 0.5000 0.8255  0.01
Rh 0.5000 0.5000 0.5000  0.41
Pu 0.0000 0.0000 0.3525  -5.29

Summary:
For the total DFT energy (no corrections), the calculation gives -9.9071 eV per atom.

Record 4
The following is a DFT calculation (GGA-PBE) of a relaxed Pu12Rh7Au crystal.

Cell lengths 8.8192, 8.8192, 8.8192 Å; angles 109.47, 109.47, 109.47 degrees
Each line ends with the local moment (μB).
Element x y z (fractional)
Au 0.0000 0.0000 0.0000  0.01
Rh 0.0000 0.5000 0.5000  -0.37
Rh 0.5000 0.5000 0.0000  -0.37
Pu 0.5047 0.6900 0.8147  5.26
Rh 0.5000 0.5000 0.5000  -0.34
Rh 0.5000 0.0000 0.0000  -0.34
Pu 0.4953 0.3100 0.1853  5.26
Rh 0.0000 0.0000 0.5000  -0.34
Rh 0.0000 0.5000 0.0000  -0.34
Pu 0.3100 0.1853 0.4953  5.26
Pu 0.1853 0.4953 0.3100  5.26
Pu 0.1247 0.3100 0.8147  5.26
Pu 0.6900 0.8147 0.5047  5.26
Pu 0.6900 0.1853 0.8753  5.26
Pu 0.8753 0.6900 0.1853  5.26
Pu 0.8147 0.1247 0.3100  5.26
Pu 0.8147 0.5047 0.6900  5.26
Pu 0.3100 0.8147 0.1247  5.26
Rh 0.5000 0.0000 0.5000  -0.37
Pu 0.1853 0.8753 0.6900  5.26

Summary:
For the total DFT energy (no corrections), the calculation gives -11.4333 eV per atom.

Record 5
The following is a DFT calculation (GGA-PBE) of a relaxed Pu6Rh5Au crystal.

Cell lengths 4.9234, 6.8847, 7.7351 Å; angles 89.78, 108.67, 90.02 degrees
Each line ends with the local moment (μB).
Element x y z (fractional)
Pu 0.8317 0.2541 0.6592  4.91
Rh 0.3325 0.0026 0.6598  0.09
Rh 0.6675 0.9974 0.3402  0.09
Rh 0.6615 0.5049 0.3292  0.11
Rh 0.3385 0.4951 0.6708  0.11
Pu 0.5016 0.2595 0.0027  -5.10
Pu 0.1683 0.7459 0.3408  4.91
Rh 0.0000 0.5000 0.0000  0.21
Pu 0.4984 0.7405 0.9973  -5.10
Pu 0.8280 0.7446 0.6531  -5.00
Au 0.0000 0.0000 0.0000  -0.02
Pu 0.1720 0.2554 0.3469  -5.00

Summary:
For the total DFT energy (no corrections), the calculation gives -10.8682 eV per atom.

Record 6
The following is a DFT calculation (GGA-PBE) of a relaxed Pu3RhAu crystal.

Cell lengths 7.0345, 7.0345, 7.0345 Å; angles 90.00, 90.00, 90.00 degrees
Each line ends with the local moment (μB).
Element x y z (fractional)
Pu 0.5000 0.5000 0.5000  5.72
Pu 0.7666 0.2334 0.7666  5.37
Au 0.0000 0.5000 0.5000  0.04
Pu 0.7666 0.7666 0.2334  5.37
Pu 0.2334 0.2334 0.2334  5.37
Rh 0.0000 0.0000 0.5000  -0.31
Au 0.5000 0.0000 0.5000  0.04
Pu 0.7666 0.2334 0.2334  5.37
Au 0.5000 0.5000 0.0000  0.04
Rh 0.0000 0.5000 0.0000  -0.31
Rh 0.5000 0.0000 0.0000  -0.31
Pu 0.2334 0.7666 0.2334  5.37
Pu 0.2334 0.7666 0.7666  5.37
Pu 0.7666 0.7666 0.7666  5.37
Pu 0.2334 0.2334 0.7666  5.37

Summary:
The value obtained for the relative energy among the computed polymorphs is 0 meV per atom.